Material: NaP2Cl
Method: DFT, GGA-PBE
State: relaxed

The structure in CIF format:
```
data_NaP2Cl
_cell_length_a 3.632
_cell_length_b 3.632
_cell_length_c 18.059
_cell_angle_alpha 84.23
_cell_angle_beta 84.23
_cell_angle_gamma 90.00
_symmetry_space_group_name_H-M 'P 1'
_symmetry_Int_Tables_number 1
_symmetry_space_group_name_Hall 'P 1'
loop_
_atom_site_label
_atom_site_type_symbol
_atom_site_fract_x
_atom_site_fract_y
_atom_site_fract_z
Cl1 Cl 0.750 0.250 0.500
P1 P 0.702 0.125 0.250
P2 P 0.375 0.298 0.750
P3 P 0.875 0.952 0.750
Na1 Na 0.500 0.500 0.000
Cl2 Cl 0.000 0.000 0.000
Na2 Na 0.250 0.750 0.500
P4 P 0.048 0.625 0.250
```

Summary:
E_form (uncorrected): -0.4828 eV per atom
ΔE to the lowest computed polymorph: 0 meV/atom
density of states at the Fermi level: 1.4 states/eV/f.u.
total DFT energy (no corrections): -31.8 eV for the cell shown

Material: NaPPbCl2
Method: DFT, GGA-PBE
State: relaxed

The structure in CIF format:
```
data_NaPPbCl2
_cell_length_a 5.826
_cell_length_b 5.826
_cell_length_c 6.181
_cell_angle_alpha 90.00
_cell_angle_beta 90.00
_cell_angle_gamma 90.00
_symmetry_space_group_name_H-M 'P 1'
_symmetry_Int_Tables_number 1
_symmetry_space_group_name_Hall 'P 1'
loop_
_atom_site_label
_atom_site_type_symbol
_atom_site_fract_x
_atom_site_fract_y
_atom_site_fract_z
Pb1 Pb 0.000 0.000 0.000
Cl1 Cl 0.000 0.500 0.000
Na1 Na 0.500 0.500 0.500
Cl2 Cl 0.500 0.000 0.000
P1 P 0.000 0.000 0.500
```

Summary:
E_form (uncorrected): -0.2910 eV per atom
ΔE to the lowest computed polymorph: 0 meV/atom
density of states at the Fermi level: 2.2 states/eV/f.u.
total DFT energy (no corrections): -15.6 eV for the cell shown

Material: NaPPbCl2
Method: DFT, GGA-PBE
State: relaxed

The structure in CIF format:
```
data_NaPPbCl2
_cell_length_a 5.260
_cell_length_b 5.260
_cell_length_c 5.617
_cell_angle_alpha 90.00
_cell_angle_beta 90.00
_cell_angle_gamma 90.00
_symmetry_space_group_name_H-M 'P 1'
_symmetry_Int_Tables_number 1
_symmetry_space_group_name_Hall 'P 1'
loop_
_atom_site_label
_atom_site_type_symbol
_atom_site_fract_x
_atom_site_fract_y
_atom_site_fract_z
Pb1 Pb 0.500 0.500 0.500
Cl1 Cl 0.000 0.500 0.000
Na1 Na 0.000 0.000 0.000
P1 P 0.000 0.000 0.500
Cl2 Cl 0.500 0.000 0.000
```

Summary:
E_form (uncorrected): -0.1413 eV per atom
ΔE to the lowest computed polymorph: 150 meV/atom
density of states at the Fermi level: 2.3 states/eV/f.u.
total DFT energy (no corrections): -14.8 eV for the cell shown